FeH2F (PBE+U, optimized geometry); volume = 7.60 Å³/atom; distance to the lowest polymorph of the same formula = 590 meV/atom
1.0
0.000 2.477 2.477
2.477 0.000 2.477
2.477 2.477 0.000
Fe H F
1 2 1
Cartesian
0.000 0.000 0.000 Fe
1.238 1.238 1.238 H
3.715 3.715 3.715 H
2.477 2.477 2.477 F